# 1
! ZrCo12B6, relaxed, DFT PBE; values from VASP
&SYSTEM
  ibrav = 0, nat = 19, ntyp = 3
/
ATOMIC_SPECIES
B 10.81 B.upf
Co 58.93 Co.upf
Zr 91.22 Zr.upf
ATOMIC_POSITIONS crystal
B 0.3142 0.7655 0.7655
B 0.7655 0.7655 0.3142
B 0.6858 0.2345 0.2345
B 0.2345 0.6858 0.2345
B 0.2345 0.2345 0.6858
B 0.7655 0.3142 0.7655
Co 0.5494 0.8157 0.5494
Co 0.1311 0.8689 0.5000
Co 0.8689 0.1311 0.5000
Co 0.4506 0.4506 0.1843
Co 0.8157 0.5494 0.5494
Co 0.1311 0.5000 0.8689
Co 0.8689 0.5000 0.1311
Co 0.4506 0.1843 0.4506
Co 0.5000 0.8689 0.1311
Co 0.5494 0.5494 0.8157
Co 0.5000 0.1311 0.8689
Co 0.1843 0.4506 0.4506
Zr 0.0000 0.0000 0.0000
CELL_PARAMETERS angstrom
5.9187 0.0079 0.0112
-1.4595 5.7359 0.0112
-1.4595 -1.8799 5.4191
! * energy relative to the elements: -299 meV per atom
! * N(E_F): 15.37 states/eV per cell
! * size of the total moment: 6.9 μB per cell


# 2
! Cr5B3, relaxed, DFT PBE; values from VASP
&SYSTEM
  ibrav = 0, nat = 16, ntyp = 2
/
ATOMIC_SPECIES
B 10.81 B.upf
Cr 52.00 Cr.upf
ATOMIC_POSITIONS crystal
B 0.6179 0.1179 0.7359
B 0.7500 0.7500 0.0000
B 0.8821 0.6179 0.5000
B 0.1179 0.3821 0.5000
B 0.3821 0.8821 0.2641
B 0.2500 0.2500 0.0000
Cr 0.0000 0.0000 0.0000
Cr 0.5251 0.6827 0.5000
Cr 0.9749 0.4749 0.1575
Cr 0.6827 0.1827 0.1575
Cr 0.0251 0.5251 0.8425
Cr 0.5000 0.5000 0.0000
Cr 0.3173 0.8173 0.8425
Cr 0.4749 0.3173 0.5000
Cr 0.1827 0.0251 0.5000
Cr 0.8173 0.9749 0.5000
CELL_PARAMETERS angstrom
-1.8624 3.4898 4.8808
-6.0975 1.0786 -1.0615
3.0777 -5.4769 0.0289
! * energy relative to the elements: -432 meV per atom
! * N(E_F): 12.95 states/eV per cell
! * size of the total moment: 0.0 μB per cell


# 3
! CrB2, relaxed, DFT PBE; values from VASP
&SYSTEM
  ibrav = 0, nat = 6, ntyp = 2
/
ATOMIC_SPECIES
B 10.81 B.upf
Cr 52.00 Cr.upf
ATOMIC_POSITIONS crystal
B 0.1627 0.3253 0.2500
B 0.8373 0.6747 0.7500
B 0.4250 0.8499 0.7500
B 0.5750 0.1501 0.2500
Cr 0.8710 0.7421 0.2500
Cr 0.1290 0.2579 0.7500
CELL_PARAMETERS angstrom
-0.8653 -2.5229 1.4185
3.9584 0.7194 0.4775
-0.8699 2.3567 3.6608
! * energy relative to the elements: 28 meV per atom
! * N(E_F): 4.03 states/eV per cell
! * size of the total moment: 2.5 μB per cell


# 4
! CrB2, relaxed, DFT PBE; values from VASP
&SYSTEM
  ibrav = 0, nat = 3, ntyp = 2
/
ATOMIC_SPECIES
B 10.81 B.upf
Cr 52.00 Cr.upf
ATOMIC_POSITIONS crystal
B 0.3039 0.3039 0.6078
B 0.6961 0.6961 0.3922
Cr 0.0000 0.0000 0.0000
CELL_PARAMETERS angstrom
-2.4382 -0.2203 0.7242
0.0242 -2.4638 -0.6682
2.2654 0.4589 3.2667
! * energy relative to the elements: 337 meV per atom
! * N(E_F): 2.12 states/eV per cell
! * size of the total moment: 0.8 μB per cell


# 5
! CrB4, relaxed, DFT PBE; values from VASP
&SYSTEM
  ibrav = 0, nat = 5, ntyp = 2
/
ATOMIC_SPECIES
B 10.81 B.upf
Cr 52.00 Cr.upf
ATOMIC_POSITIONS crystal
B 0.8530 0.6576 0.1954
B 0.4623 0.6576 0.8046
B 0.1470 0.3424 0.8046
B 0.5377 0.3424 0.1954
Cr 0.0000 0.0000 0.0000
CELL_PARAMETERS angstrom
3.8975 0.0012 0.0011
-0.0356 3.8973 -0.0011
-1.0066 -2.8649 2.4433
! * energy relative to the elements: -310 meV per atom
! * N(E_F): 0.33 states/eV per cell
! * size of the total moment: 0.0 μB per cell


# 6
! CrB4, relaxed, DFT PBE; values from VASP
&SYSTEM
  ibrav = 0, nat = 5, ntyp = 2
/
ATOMIC_SPECIES
B 10.81 B.upf
Cr 52.00 Cr.upf
ATOMIC_POSITIONS crystal
B 0.0000 0.5000 0.5000
B 0.0000 0.0000 0.0000
B 0.5000 0.0000 0.5000
B 0.5000 0.5000 0.0000
Cr 0.5000 0.5000 0.5000
CELL_PARAMETERS angstrom
-1.7123 -2.2392 -2.6581
2.8879 -2.5653 0.3008
-1.9338 -1.8483 2.8027
! * energy relative to the elements: 1976 meV per atom
! * N(E_F): 0.90 states/eV per cell
! * size of the total moment: 0.0 μB per cell


What did the fourth record say?
! CrB2, relaxed, DFT PBE; values from VASP
&SYSTEM
  ibrav = 0, nat = 3, ntyp = 2
/
ATOMIC_SPECIES
B 10.81 B.upf
Cr 52.00 Cr.upf
ATOMIC_POSITIONS crystal
B 0.3039 0.3039 0.6078
B 0.6961 0.6961 0.3922
Cr 0.0000 0.0000 0.0000
CELL_PARAMETERS angstrom
-2.4382 -0.2203 0.7242
0.0242 -2.4638 -0.6682
2.2654 0.4589 3.2667
! * energy relative to the elements: 337 meV per atom
! * N(E_F): 2.12 states/eV per cell
! * size of the total moment: 0.8 μB per cell